Entry from Alexandria: an optimized crystal structure of Zr5Re (PBE).

a = 5.7980 Å, b = 5.7980 Å, c = 7.3794 Å
α = 108.95°, β = 108.95°, γ = 33.57°
Fractional coordinates of all 6 atoms:
1 Zr 0.0000 0.0000 0.0000
2 Zr 0.0168 0.0168 0.4522
3 Zr 0.3109 0.3109 0.1619
4 Zr 0.3279 0.3279 0.6148
5 Zr 0.6634 0.6634 0.8070
6 Re 0.6642 0.6642 0.3074

Results
The energy of formation from the pure elements is -7.68 kJ per mole of atoms. Its total moment is 0.000 μB per atom.


Entry from Alexandria: an optimized crystal structure of Re2PbCl (PBE).

a = 3.0350 Å, b = 3.0350 Å, c = 10.0700 Å
α = 90.00°, β = 90.00°, γ = 119.17°
Fractional coordinates of all 4 atoms:
1 Re 0.0000 0.0000 0.0000
2 Re 0.5000 0.5000 0.1942
3 Pb 0.5000 0.5000 0.7273
4 Cl 0.0000 0.0000 0.3975

Results
The value obtained for the final energy is -0.5146 Ry per atom. Its total moment is 0.000 μB per atom.


Entry from Alexandria: an optimized crystal structure of Tl2HgAuSe (PBE).

a = 4.2405 Å, b = 4.2405 Å, c = 15.9889 Å
α = 90.00°, β = 90.00°, γ = 90.00°
Fractional coordinates of all 10 atoms:
1 Tl 0.2500 0.2500 0.0882
2 Tl 0.2500 0.2500 0.7033
3 Tl 0.7500 0.7500 0.2967
4 Tl 0.7500 0.7500 0.9118
5 Hg 0.2500 0.2500 0.3694
6 Hg 0.7500 0.7500 0.6306
7 Au 0.2500 0.7500 0.5000
8 Au 0.7500 0.2500 0.5000
9 Se 0.2500 0.2500 0.8948
10 Se 0.7500 0.7500 0.1052

Results
The value obtained for the final energy is -0.1792 Ry per atom. Its total moment is 0.000 μB per atom.


Entry from Alexandria: an optimized crystal structure of AcLaPr14 (PBE).

a = 12.1920 Å, b = 7.4955 Å, c = 7.4955 Å
α = 60.10°, β = 90.00°, γ = 90.00°
Fractional coordinates of all 16 atoms:
1 Ac 0.0000 0.0000 0.0000
2 La 0.0000 0.5004 0.5004
3 Pr 0.0000 0.0018 0.5004
4 Pr 0.0000 0.5004 0.0018
5 Pr 0.2507 0.6680 0.6680
6 Pr 0.2524 0.1686 0.1686
7 Pr 0.2533 0.1689 0.6660
8 Pr 0.2533 0.6660 0.1689
9 Pr 0.5000 0.0003 0.5007
10 Pr 0.5000 0.0009 0.0009
11 Pr 0.5000 0.5007 0.0003
12 Pr 0.5000 0.5013 0.5013
13 Pr 0.7467 0.1689 0.6660
14 Pr 0.7467 0.6660 0.1689
15 Pr 0.7476 0.1686 0.1686
16 Pr 0.7493 0.6680 0.6680

Results
The energy of formation from the pure elements is 3.51 kJ per mole of atoms. Its total moment is 0.000 μB per atom.